1.
This record from OQMD via LeMat-Bulk describes crystalline CsNbSb4 at its relaxed geometry. The functional is GGA-PBE.

a b c (Å): 5.407 5.407 10.602
angles (deg): 102.13 102.13 43.38
Fractional positions:
1 Cs 0.000 0.000 0.000
2 Nb 0.709 0.709 0.566
3 Sb 0.058 0.058 0.378
4 Sb 0.231 0.231 0.764
5 Sb 0.422 0.422 0.594
6 Sb 0.742 0.742 0.301

=====

2.
This record from OQMD via LeMat-Bulk describes crystalline TmAlPdPt at its relaxed geometry. The functional is GGA-PBE.

## Properties
offset from the most stable computed form	0	kJ/mol of formula units

a b c (Å): 4.335 4.335 9.065
angles (deg): 90.00 90.00 120.00
Fractional positions:
1 Tm 0.333 0.667 0.000
2 Tm 0.667 0.333 0.500
3 Al 0.000 0.000 0.260
4 Al 0.000 0.000 0.760
5 Pd 0.333 0.667 0.666
6 Pd 0.667 0.333 0.166
7 Pt 0.333 0.667 0.333
8 Pt 0.667 0.333 0.833

=====

3.
This record from OQMD via LeMat-Bulk describes crystalline CsAgTePdSe2 at its relaxed geometry. The functional is GGA-PBE.

a b c (Å): 8.639 8.639 10.785
angles (deg): 90.00 90.00 154.05
Fractional positions:
1 Cs 0.238 0.762 0.750
2 Cs 0.762 0.238 0.250
3 Ag 0.446 0.554 0.250
4 Ag 0.554 0.446 0.750
5 Te 0.066 0.934 0.250
6 Te 0.934 0.066 0.750
7 Pd 0.000 0.000 0.000
8 Pd 0.000 0.000 0.500
9 Se 0.399 0.601 0.019
10 Se 0.399 0.601 0.481
11 Se 0.601 0.399 0.519
12 Se 0.601 0.399 0.981

=====

4.
This record from OQMD via LeMat-Bulk describes crystalline GdSb at its relaxed geometry. The functional is GGA-PBE.

a b c (Å): 4.417 4.417 4.417
angles (deg): 60.00 60.00 60.00
Fractional positions:
1 Gd 0.000 0.000 0.000
2 Sb 0.500 0.500 0.500

=====

5.
This record from OQMD via LeMat-Bulk describes crystalline ErPu at its relaxed geometry. The functional is GGA-PBE.

## Properties
offset from the most stable computed form	4	kJ/mol of formula units
energy relative to the elements	0.094	eV per atom

a b c (Å): 3.421 3.421 5.621
angles (deg): 90.00 90.00 120.00
Fractional positions:
1 Er 0.000 0.000 0.000
2 Pu 0.667 0.333 0.500

=====

6.
This record from OQMD via LeMat-Bulk describes crystalline TbGdGa6 at its relaxed geometry. The functional is GGA-PBE.

a b c (Å): 6.298 6.298 4.580
angles (deg): 90.00 90.00 120.00
Fractional positions:
1 Tb 0.000 0.000 0.000
2 Gd 0.333 0.667 0.500
3 Ga 0.370 0.185 0.500
4 Ga 0.519 0.037 0.000
5 Ga 0.519 0.481 0.000
6 Ga 0.815 0.185 0.500
7 Ga 0.815 0.630 0.500
8 Ga 0.963 0.481 0.000

=====

Number 1: raw total energy -4.7455 eV/atom, density 5709 kg/m³. Number 2: raw total energy -5.9716 eV/atom, density 11200 kg/m³. Number 3: raw total energy -3.5240 eV/atom, density 5965 kg/m³. Number 4: raw total energy -5.5515 eV/atom, density 7604 kg/m³. Number 5: raw total energy -9.2509 eV/atom, density 11990 kg/m³. Number 6: raw total energy -3.9834 eV/atom, density 7754 kg/m³.